The following is a DFT calculation (PBE-GGA) of an optimized crystal structure of Sm2RhO.

Output
Energy relative to the elements, uncorrected ... -1294 meV/atom
Crystal system ... tetragonal
ΔE to the lowest computed polymorph ... 0.261 eV per atom
Total moment ... 0.00 μB per formula unit

a b c (Å): 3.211 3.211 6.994
angles (deg): 90.00 90.00 90.00
Space group P4/mmm (No. 123)
One atom of each set of equivalent atoms:
1 Sm 0.000 0.000 0.228 (multiplicity 2)
2 Rh 0.500 0.500 0.500 (multiplicity 1)
3 O 0.500 0.500 0.000 (multiplicity 1)

=====

The following is a DFT calculation (PBE-GGA) of an optimized crystal structure of LaCr2Ag.

Output
Crystal system ... cubic
ΔE to the lowest computed polymorph ... 0.279 eV per atom
Total moment ... 8.14 μB per formula unit

a b c (Å): 6.988 6.988 6.988
angles (deg): 90.00 90.00 90.00
Space group Fm-3m (No. 225)
One atom of each set of equivalent atoms:
1 La 0.000 0.000 0.000 (multiplicity 4)
2 Cr 0.250 0.250 0.250 (multiplicity 8)
3 Ag 0.000 0.000 0.500 (multiplicity 4)

=====

The following is a DFT calculation (PBE-GGA) of an optimized crystal structure of BeFeAsSe2.

Output
Energy relative to the elements, uncorrected ... 756 meV/atom
Crystal system ... tetragonal
ΔE to the lowest computed polymorph ... 0.000 eV per atom
Total moment ... 1.37 μB per formula unit

a b c (Å): 4.823 4.823 4.368
angles (deg): 90.00 90.00 90.00
Space group P4/mmm (No. 123)
One atom of each set of equivalent atoms:
1 Be 0.000 0.000 0.000 (multiplicity 1)
2 Fe 0.500 0.500 0.500 (multiplicity 1)
3 As 0.500 0.500 0.000 (multiplicity 1)
4 Se 0.000 0.500 0.500 (multiplicity 2)

=====

The following is a DFT calculation (PBE-GGA) of an optimized crystal structure of La2Ag2S.

Output
Energy relative to the elements, uncorrected ... -681 meV/atom
Crystal system ... tetragonal
Total moment ... 0.00 μB per formula unit

a b c (Å): 7.922 7.922 4.537
angles (deg): 90.00 90.00 90.00
Space group P4/mbm (No. 127)
One atom of each set of equivalent atoms:
1 La 0.179 0.321 0.000 (multiplicity 4)
2 Ag 0.123 0.623 0.500 (multiplicity 4)
3 S 0.000 0.000 0.000 (multiplicity 2)

=====

The following is a DFT calculation (PBE-GGA) of an optimized crystal structure of Ce3Pm2YP6.

Output
VASP energy ... -7.0659 eV per atom
Crystal system ... monoclinic
Total moment ... 1.46 μB per formula unit

a b c (Å): 7.085 12.273 7.078
angles (deg): 90.00 109.50 90.00
Space group C2/m (No. 12)
One atom of each set of equivalent atoms:
1 Ce 0.000 0.000 0.000 (multiplicity 2)
2 Ce 0.000 0.333 0.000 (multiplicity 4)
3 Pm 0.000 0.166 0.500 (multiplicity 4)
4 Y 0.000 0.500 0.500 (multiplicity 2)
5 P 0.245 0.500 0.246 (multiplicity 4)
6 P 0.249 0.335 0.753 (multiplicity 8)

=====

The following is a DFT calculation (PBE-GGA) of an optimized crystal structure of Ca2CrRe.

Output
Crystal system ... tetragonal
ΔE to the lowest computed polymorph ... 0.618 eV per atom
Total moment ... 4.61 μB per formula unit

a b c (Å): 5.425 5.425 3.079
angles (deg): 90.00 90.00 90.00
Space group P4/mmm (No. 123)
One atom of each set of equivalent atoms:
1 Ca 0.000 0.500 0.000 (multiplicity 2)
2 Cr 0.000 0.000 0.500 (multiplicity 1)
3 Re 0.500 0.500 0.500 (multiplicity 1)

=====

The following is a DFT calculation (PBE-GGA) of an optimized crystal structure of Gd3W5N12.

Output
Energy relative to the elements, uncorrected ... -793 meV/atom
Crystal system ... cubic
Total moment ... 20.34 μB per formula unit

a b c (Å): 12.888 12.888 12.888
angles (deg): 90.00 90.00 90.00
Space group Ia-3d (No. 230)
One atom of each set of equivalent atoms:
1 Gd 0.000 0.250 0.125 (multiplicity 24)
2 W 0.000 0.000 0.000 (multiplicity 16)
3 W 0.000 0.250 0.375 (multiplicity 24)
4 N 0.032 0.050 0.648 (multiplicity 96)

=====

The following is a DFT calculation (PBE-GGA) of an optimized crystal structure of CaCoOs2.

Output
Crystal system ... tetragonal
ΔE to the lowest computed polymorph ... 0.116 eV per atom
Total moment ... 0.16 μB per formula unit

a b c (Å): 2.725 2.725 8.291
angles (deg): 90.00 90.00 90.00
Space group P4/mmm (No. 123)
One atom of each set of equivalent atoms:
1 Ca 0.000 0.000 0.000 (multiplicity 1)
2 Co 0.000 0.000 0.500 (multiplicity 1)
3 Os 0.500 0.500 0.296 (multiplicity 2)

=====

The following is a DFT calculation (PBE-GGA) of an optimized crystal structure of CsLiS2Cl.

Output
Energy relative to the elements, uncorrected ... -468 meV/atom
Crystal system ... tetragonal
ΔE to the lowest computed polymorph ... 0.000 eV per atom
Total moment ... 0.91 μB per formula unit

a b c (Å): 4.666 4.666 6.283
angles (deg): 90.00 90.00 90.00
Space group P4/mmm (No. 123)
One atom of each set of equivalent atoms:
1 Cs 0.000 0.000 0.000 (multiplicity 1)
2 Li 0.500 0.500 0.500 (multiplicity 1)
3 S 0.000 0.500 0.500 (multiplicity 2)
4 Cl 0.500 0.500 0.000 (multiplicity 1)